Below is a relaxed TaZnFeCu crystal, with properties calculated at the GGA-PBE level.

Values from the calculation:
ΔE to the lowest computed polymorph = 93.3 meV per atom
formation enthalpy at 0 K = 0.155 eV/atom
uncorrected energy = -24.5 eV/cell

a b c (Å): 4.274 4.274 4.274
angles (deg): 60.00 60.00 60.00
Fractional coordinates of all 4 atoms:
Ta 0.000 0.000 0.000
Zn 0.250 0.250 0.250
Fe 0.750 0.750 0.750
Cu 0.500 0.500 0.500


Below is a relaxed ZrTaFeCu crystal, with properties calculated at the GGA-PBE level.

Values from the calculation:
ΔE to the lowest computed polymorph = 0.0 meV per atom
formation enthalpy at 0 K = -0.009 eV/atom
uncorrected energy = -32.5 eV/cell

a b c (Å): 4.466 4.466 4.466
angles (deg): 60.00 60.00 60.00
Fractional coordinates of all 4 atoms:
Zr 0.000 0.000 0.000
Ta 0.500 0.500 0.500
Fe 0.750 0.750 0.750
Cu 0.250 0.250 0.250


Below is a relaxed ZrTaFeCu crystal, with properties calculated at the GGA-PBE level.

Values from the calculation:
ΔE to the lowest computed polymorph = 214.7 meV per atom
formation enthalpy at 0 K = 0.206 eV/atom
uncorrected energy = -31.6 eV/cell

a b c (Å): 4.418 4.418 4.418
angles (deg): 60.00 60.00 60.00
Fractional coordinates of all 4 atoms:
Zr 0.000 0.000 0.000
Ta 0.750 0.750 0.750
Fe 0.500 0.500 0.500
Cu 0.250 0.250 0.250


Below is a relaxed Tb2TlFeCu crystal, with properties calculated at the GGA-PBE level.

Values from the calculation:
uncorrected energy = -24.5 eV/cell

a b c (Å): 3.740 7.450 7.450
angles (deg): 31.39 90.00 90.00
Fractional coordinates of all 5 atoms:
Tb 0.000 0.000 0.000
Tb 0.000 0.274 0.274
Tl 0.500 0.641 0.641
Fe 0.500 0.842 0.842
Cu 0.500 0.436 0.436